The following is a DFT calculation (PBE-GGA) of a relaxed Sc2BiC crystal.

Properties
SG   No. 225
Total moment   0.00 μB/cell
D(E_F)   1.40 states/eV/atom
Formation enthalpy at 0 K   584 meV per atom

extended XYZ file:
```
4
Lattice="0.0000 3.3942 3.3942 3.3942 0.0000 3.3942 3.3942 3.3942 0.0000" Properties=species:S:1:pos:R:3 pbc="T T T"
Sc 1.6971 1.6971 1.6971
Sc 5.0913 5.0913 5.0913
Bi 0.0000 0.0000 0.0000
C 3.3942 3.3942 3.3942
```